(1)
# PBE K3Se2O8, relaxed
# Formation energy from raw total energies = -1.1734 eV per atom
# Offset from the most stable computed form = 0 meV per atom
# Electronic total energy = -5.014 eV per atom
data_K3Se2O8
_cell_length_a 15.191
_cell_length_b 6.135
_cell_length_c 10.249
_cell_angle_alpha 90.00
_cell_angle_beta 105.00
_cell_angle_gamma 90.00
_symmetry_space_group_name_H-M 'C 1 2/c 1'
_symmetry_Int_Tables_number 15
_symmetry_space_group_name_Hall '-C 2yc'
loop_
_atom_site_label
_atom_site_type_symbol
_atom_site_fract_x
_atom_site_fract_y
_atom_site_fract_z
K1 K 0.000 0.241 0.250
K2 K 0.189 0.293 0.651
Se1 Se 0.112 0.206 0.967
O1 O 0.004 0.159 0.566
O2 O 0.121 0.430 0.879
O3 O 0.152 0.249 0.133
O4 O 0.159 0.011 0.416

(2)
# PBE Nd2Si4IrPt3, relaxed
# Formation energy from raw total energies = -1.0948 eV per atom
# Electronic total energy = -6.916 eV per atom
data_Nd2Si4IrPt3
_cell_length_a 4.199
_cell_length_b 4.199
_cell_length_c 10.058
_cell_angle_alpha 90.00
_cell_angle_beta 90.00
_cell_angle_gamma 90.00
_symmetry_space_group_name_H-M 'P -4 m 2'
_symmetry_Int_Tables_number 115
_symmetry_space_group_name_Hall 'P -4 -2'
loop_
_atom_site_label
_atom_site_type_symbol
_atom_site_fract_x
_atom_site_fract_y
_atom_site_fract_z
Nd1 Nd 0.000 0.500 0.245
Si1 Si 0.000 0.000 0.000
Si2 Si 0.000 0.500 0.633
Si3 Si 0.500 0.500 0.000
Ir1 Ir 0.000 0.000 0.500
Pt1 Pt 0.000 0.500 0.877
Pt2 Pt 0.500 0.500 0.500

(3)
# PBE Mg2InH, relaxed
# Offset from the most stable computed form = 62 meV per atom
# Electronic total energy = -2.339 eV per atom
data_Mg2InH
_cell_length_a 4.703
_cell_length_b 5.717
_cell_length_c 6.303
_cell_angle_alpha 107.05
_cell_angle_beta 92.91
_cell_angle_gamma 113.77
_symmetry_space_group_name_H-M 'P 1'
_symmetry_Int_Tables_number 1
_symmetry_space_group_name_Hall 'P 1'
loop_
_atom_site_label
_atom_site_type_symbol
_atom_site_fract_x
_atom_site_fract_y
_atom_site_fract_z
Mg1 Mg 0.000 0.000 0.000
Mg2 Mg 0.031 0.025 0.503
Mg3 Mg 0.357 0.683 0.158
Mg4 Mg 0.693 0.357 0.326
In1 In 0.371 0.693 0.652
In2 In 0.721 0.356 0.823
H1 H 0.285 0.016 0.260
H2 H 0.382 0.338 0.079

(4)
# PBE CaCdCuF6, relaxed
# Formation energy from raw total energies = -2.4886 eV per atom
# Electronic total energy = -4.515 eV per atom
data_CaCdCuF6
_cell_length_a 5.6066
_cell_length_b 5.6066
_cell_length_c 9.4826
_cell_angle_alpha 90.00
_cell_angle_beta 90.00
_cell_angle_gamma 120.00
_symmetry_space_group_name_H-M 'P -3 1 c'
_symmetry_Int_Tables_number 163
_symmetry_space_group_name_Hall '-P 3 2c'
loop_
_atom_site_label
_atom_site_type_symbol
_atom_site_fract_x
_atom_site_fract_y
_atom_site_fract_z
Ca1 Ca 0.3333 0.6667 0.2500
Cd1 Cd 0.0000 0.0000 0.0000
Cu1 Cu 0.3333 0.6667 0.7500
F1 F 0.0300 0.3551 0.6319

(5)
# PBE Pm2Zn3Ga4Pd, relaxed
# Electronic total energy = -3.610 eV per atom
data_Pm2Zn3Ga4Pd
_cell_length_a 4.236
_cell_length_b 4.236
_cell_length_c 10.642
_cell_angle_alpha 90.00
_cell_angle_beta 90.00
_cell_angle_gamma 90.00
_symmetry_space_group_name_H-M 'P -4 m 2'
_symmetry_Int_Tables_number 115
_symmetry_space_group_name_Hall 'P -4 -2'
loop_
_atom_site_label
_atom_site_type_symbol
_atom_site_fract_x
_atom_site_fract_y
_atom_site_fract_z
Pm1 Pm 0.000 0.500 0.249
Zn1 Zn 0.000 0.500 0.864
Zn2 Zn 0.500 0.500 0.500
Ga1 Ga 0.000 0.000 0.000
Ga2 Ga 0.000 0.500 0.633
Ga3 Ga 0.500 0.500 0.000
Pd1 Pd 0.000 0.000 0.500

(6)
# PBE K9Te3O2, relaxed
# Formation energy from raw total energies = -1.0140 eV per atom
# Electronic total energy = -3.101 eV per atom
data_K9Te3O2
_cell_length_a 13.3462
_cell_length_b 13.3462
_cell_length_c 17.9385
_cell_angle_alpha 90.00
_cell_angle_beta 90.00
_cell_angle_gamma 120.00
_symmetry_space_group_name_H-M 'R -3 c'
_symmetry_Int_Tables_number 167
_symmetry_space_group_name_Hall '-R 3 2"c'
loop_
_atom_site_label
_atom_site_type_symbol
_atom_site_fract_x
_atom_site_fract_y
_atom_site_fract_z
K1 K 0.0000 0.1569 0.2500
K2 K 0.0056 0.1786 0.9080
Te1 Te 0.0000 0.3441 0.7500
O1 O 0.0000 0.0000 0.1564

(7)
# PBE Ac2Sb4Ir3Ru, relaxed
# Formation energy from raw total energies = -0.6396 eV per atom
# Electronic total energy = -6.696 eV per atom
data_Ac2Sb4Ir3Ru
_cell_length_a 4.610
_cell_length_b 4.610
_cell_length_c 10.737
_cell_angle_alpha 90.00
_cell_angle_beta 90.00
_cell_angle_gamma 90.00
_symmetry_space_group_name_H-M 'P -4 m 2'
_symmetry_Int_Tables_number 115
_symmetry_space_group_name_Hall 'P -4 -2'
loop_
_atom_site_label
_atom_site_type_symbol
_atom_site_fract_x
_atom_site_fract_y
_atom_site_fract_z
Ac1 Ac 0.000 0.500 0.247
Sb1 Sb 0.000 0.000 0.500
Sb2 Sb 0.000 0.500 0.870
Sb3 Sb 0.500 0.500 0.500
Ir1 Ir 0.000 0.000 0.000
Ir2 Ir 0.000 0.500 0.624
Ru1 Ru 0.500 0.500 0.000

(8)
# PBE MgOs4, relaxed
# Offset from the most stable computed form = 0 meV per atom
# Electronic total energy = -9.006 eV per atom
data_MgOs4
_cell_length_a 6.153
_cell_length_b 6.153
_cell_length_c 3.869
_cell_angle_alpha 90.00
_cell_angle_beta 90.00
_cell_angle_gamma 90.00
_symmetry_space_group_name_H-M 'I 4/m'
_symmetry_Int_Tables_number 87
_symmetry_space_group_name_Hall '-I 4'
loop_
_atom_site_label
_atom_site_type_symbol
_atom_site_fract_x
_atom_site_fract_y
_atom_site_fract_z
Mg1 Mg 0.000 0.000 0.000
Os1 Os 0.096 0.304 0.500

Please write out number 4 again, unchanged.
# PBE CaCdCuF6, relaxed
# Formation energy from raw total energies = -2.4886 eV per atom
# Electronic total energy = -4.515 eV per atom
data_CaCdCuF6
_cell_length_a 5.6066
_cell_length_b 5.6066
_cell_length_c 9.4826
_cell_angle_alpha 90.00
_cell_angle_beta 90.00
_cell_angle_gamma 120.00
_symmetry_space_group_name_H-M 'P -3 1 c'
_symmetry_Int_Tables_number 163
_symmetry_space_group_name_Hall '-P 3 2c'
loop_
_atom_site_label
_atom_site_type_symbol
_atom_site_fract_x
_atom_site_fract_y
_atom_site_fract_z
Ca1 Ca 0.3333 0.6667 0.2500
Cd1 Cd 0.0000 0.0000 0.0000
Cu1 Cu 0.3333 0.6667 0.7500
F1 F 0.0300 0.3551 0.6319